Compound: La2Tm2Hg3
Source: Alexandria
Functional: GGA-PBE
Structure: relaxed

Unit cell a=8.9797 b=5.1885 c=9.2665 alpha=90.00 beta=108.58 gamma=90.00
Element x y z (fractional)
La: 0.1285 0.0000 0.3885
La: 0.3715 0.5000 0.6115
La: 0.6285 0.5000 0.3885
La: 0.8715 0.0000 0.6115
Tm: 0.1247 0.5000 0.8725
Tm: 0.3753 0.0000 0.1275
Tm: 0.6247 0.0000 0.8725
Tm: 0.8753 0.5000 0.1275
Hg: 0.0000 0.0000 0.0000
Hg: 0.2434 0.5000 0.2308
Hg: 0.2566 0.0000 0.7692
Hg: 0.5000 0.5000 0.0000
Hg: 0.7434 0.0000 0.2308
Hg: 0.7566 0.5000 0.7692

Properties
formation energy: -0.33 eV/atom
space-group type: C2/m, No. 12
E: -3.147 eV/atom
mass density: 9.9 Mg/m³